1.
A relaxed structure of CrTe2Au. Source: Alexandria, functional PBE-GGA.

POSCAR file:
```
CrTe2Au
1.0
3.950 0.000 0.000
1.370 6.832 0.000
0.902 0.408 7.585
Cr Te Au
2 4 2
Direct
0.000 0.000 0.000 Cr
0.272 0.033 0.201 Cr
0.092 0.317 0.437 Te
0.113 0.801 0.474 Te
0.420 0.248 0.874 Te
0.608 0.724 0.045 Te
0.525 0.896 0.702 Au
0.657 0.325 0.188 Au
```

Calculated values
* total moment: 0.0 μB/cell
* energy relative to the lowest polymorph listed for this composition: 0.75 eV per formula unit

2.
A relaxed structure of CrTe2Au. Source: Alexandria, functional PBE-GGA.

POSCAR file:
```
CrTe2Au
1.0
7.086 0.000 0.000
0.000 7.086 0.000
0.000 0.000 7.373
Cr Te Au
4 8 4
Direct
0.000 0.500 0.250 Cr
0.000 0.500 0.750 Cr
0.500 0.000 0.250 Cr
0.500 0.000 0.750 Cr
0.202 0.298 0.000 Te
0.202 0.702 0.500 Te
0.298 0.202 0.500 Te
0.298 0.798 0.000 Te
0.702 0.202 0.000 Te
0.702 0.798 0.500 Te
0.798 0.298 0.500 Te
0.798 0.702 0.000 Te
0.000 0.000 0.250 Au
0.000 0.000 0.750 Au
0.500 0.500 0.250 Au
0.500 0.500 0.750 Au
```

Calculated values
* total moment: 13.0 μB/cell
* energy relative to the lowest polymorph listed for this composition: 1.47 eV per formula unit

3.
A relaxed structure of CrTeAu. Source: Alexandria, functional PBE-GGA.

POSCAR file:
```
CrTeAu
1.0
3.274 0.000 0.000
0.000 3.274 0.000
0.000 0.000 11.813
Cr Te Au
2 2 2
Direct
0.000 0.000 0.000 Cr
0.500 0.500 0.500 Cr
0.000 0.000 0.360 Te
0.500 0.500 0.860 Te
0.000 0.000 0.639 Au
0.500 0.500 0.139 Au
```

Calculated values
* total moment: 6.8 μB/cell
* energy relative to the lowest polymorph listed for this composition: 0.43 eV per formula unit

4.
A relaxed structure of CrTe2Au. Source: Alexandria, functional PBE-GGA.

POSCAR file:
```
CrTe2Au
1.0
6.446 0.000 0.000
0.000 3.719 0.000
0.000 0.000 17.301
Cr Te Au
4 8 4
Direct
0.034 0.250 0.099 Cr
0.466 0.750 0.599 Cr
0.534 0.250 0.401 Cr
0.966 0.750 0.901 Cr
0.201 0.250 0.825 Te
0.239 0.250 0.519 Te
0.261 0.750 0.019 Te
0.299 0.750 0.325 Te
0.701 0.250 0.675 Te
0.739 0.250 0.981 Te
0.761 0.750 0.481 Te
0.799 0.750 0.175 Te
0.145 0.250 0.671 Au
0.355 0.750 0.171 Au
0.645 0.250 0.829 Au
0.855 0.750 0.329 Au
```

Calculated values
* total moment: 12.6 μB/cell
* energy relative to the lowest polymorph listed for this composition: 0.42 eV per formula unit

5.
A relaxed structure of CrTe2Au. Source: Alexandria, functional PBE-GGA.

POSCAR file:
```
CrTe2Au
1.0
3.768 0.000 0.000
-1.884 7.886 0.000
-1.867 -3.258 7.460
Cr Te Au
2 4 2
Direct
0.000 0.000 0.000 Cr
0.110 0.245 0.974 Cr
0.128 0.842 0.417 Te
0.289 0.773 0.802 Te
0.514 0.268 0.757 Te
0.733 0.236 0.231 Te
0.503 0.842 0.165 Au
0.820 0.536 0.105 Au
```

Calculated values
* total moment: 2.0 μB/cell
* energy relative to the lowest polymorph listed for this composition: 0.89 eV per formula unit

6.
A relaxed structure of CrTe2Au. Source: Alexandria, functional PBE-GGA.

POSCAR file:
```
CrTe2Au
1.0
4.058 0.000 0.000
-2.029 3.514 0.000
0.000 0.000 20.116
Cr Te Au
3 6 3
Direct
0.000 0.000 0.000 Cr
0.333 0.667 0.667 Cr
0.667 0.333 0.333 Cr
0.000 0.000 0.258 Te
0.000 0.000 0.742 Te
0.333 0.667 0.409 Te
0.333 0.667 0.924 Te
0.667 0.333 0.076 Te
0.667 0.333 0.591 Te
0.000 0.000 0.500 Au
0.333 0.667 0.167 Au
0.667 0.333 0.833 Au
```

Calculated values
* total moment: 9.8 μB/cell
* energy relative to the lowest polymorph listed for this composition: 0.54 eV per formula unit

7.
A relaxed structure of CrTe2Au. Source: Alexandria, functional PBE-GGA.

POSCAR file:
```
CrTe2Au
1.0
4.296 0.000 0.000
-2.148 3.721 0.000
0.000 0.000 7.025
Cr Te Au
1 2 1
Direct
0.000 0.000 0.000 Cr
0.000 0.000 0.620 Te
0.333 0.667 0.150 Te
0.667 0.333 0.787 Au
```

Calculated values
* total moment: 3.2 μB/cell
* energy relative to the lowest polymorph listed for this composition: 0.45 eV per formula unit

8.
A relaxed structure of Cr2TeAu. Source: Alexandria, functional PBE-GGA.

POSCAR file:
```
Cr2TeAu
1.0
3.081 0.000 0.000
-1.541 2.669 0.000
0.000 0.000 27.313
Cr Te Au
6 3 3
Direct
0.000 0.000 0.000 Cr
0.000 0.000 0.274 Cr
0.333 0.667 0.667 Cr
0.333 0.667 0.940 Cr
0.667 0.333 0.333 Cr
0.667 0.333 0.607 Cr
0.000 0.000 0.527 Te
0.333 0.667 0.193 Te
0.667 0.333 0.860 Te
0.000 0.000 0.745 Au
0.333 0.667 0.411 Au
0.667 0.333 0.078 Au
```

Calculated values
* total moment: 0.7 μB/cell
* total DFT energy (no corrections): -6.02 eV/atom

9.
A relaxed structure of CrTe2Au. Source: Alexandria, functional PBE-GGA.

POSCAR file:
```
CrTe2Au
1.0
6.193 0.000 0.000
0.000 3.940 0.000
-1.914 0.000 7.911
Cr Te Au
2 4 2
Direct
0.001 0.250 0.407 Cr
0.999 0.750 0.593 Cr
0.140 0.250 0.132 Te
0.282 0.250 0.708 Te
0.718 0.750 0.292 Te
0.860 0.750 0.868 Te
0.326 0.750 0.406 Au
0.674 0.250 0.594 Au
```

Calculated values
* total moment: 0.0 μB/cell
* energy relative to the lowest polymorph listed for this composition: 0.50 eV per formula unit

10.
A relaxed structure of TlCrTe3Au. Source: Alexandria, functional PBE-GGA.

POSCAR file:
```
TlCrTe3Au
1.0
8.418 0.000 0.000
0.000 4.003 0.000
-3.734 0.000 9.982
Tl Cr Te Au
2 2 6 2
Direct
0.242 0.250 0.298 Tl
0.758 0.750 0.702 Tl
0.317 0.750 0.848 Cr
0.683 0.250 0.152 Cr
0.104 0.250 0.872 Te
0.288 0.750 0.583 Te
0.449 0.750 0.124 Te
0.551 0.250 0.876 Te
0.712 0.250 0.417 Te
0.896 0.750 0.128 Te
0.055 0.250 0.606 Au
0.945 0.750 0.394 Au
```

Calculated values
* total moment: 5.2 μB/cell
* total DFT energy (no corrections): -4.28 eV/atom

11.
A relaxed structure of Tl2Cr2Te6Au. Source: Alexandria, functional PBE-GGA.

POSCAR file:
```
Tl2Cr2Te6Au
1.0
3.529 -6.199 0.000
3.529 6.199 0.000
-2.348 0.000 7.734
Tl Cr Te Au
2 2 6 1
Direct
0.164 0.836 0.000 Tl
0.836 0.164 0.000 Tl
0.328 0.672 0.500 Cr
0.672 0.328 0.500 Cr
0.066 0.416 0.695 Te
0.279 0.279 0.321 Te
0.416 0.066 0.695 Te
0.584 0.934 0.305 Te
0.721 0.721 0.679 Te
0.934 0.584 0.305 Te
0.000 0.000 0.500 Au
```

Calculated values
* total moment: 5.3 μB/cell
* total DFT energy (no corrections): -4.35 eV/atom

12.
A relaxed structure of Tl3Cr2Te6Au. Source: Alexandria, functional PBE-GGA.

POSCAR file:
```
Tl3Cr2Te6Au
1.0
3.619 -6.296 0.000
3.619 6.296 0.000
-2.342 0.000 7.605
Tl Cr Te Au
3 2 6 1
Direct
0.000 0.000 0.000 Tl
0.336 0.664 0.000 Tl
0.664 0.336 0.000 Tl
0.168 0.832 0.500 Cr
0.832 0.168 0.500 Cr
0.086 0.436 0.307 Te
0.217 0.217 0.684 Te
0.436 0.086 0.307 Te
0.564 0.914 0.693 Te
0.783 0.783 0.316 Te
0.914 0.564 0.693 Te
0.500 0.500 0.500 Au
```

Calculated values
* total moment: 5.6 μB/cell
* total DFT energy (no corrections): -4.22 eV/atom

13.
A relaxed structure of Ti2Cr2Au. Source: Alexandria, functional PBE-GGA.

POSCAR file:
```
Ti2Cr2Au
1.0
6.900 0.000 0.000
0.000 6.900 0.000
0.000 0.000 3.165
Ti Cr Au
4 4 2
Direct
0.191 0.309 0.000 Ti
0.309 0.809 0.000 Ti
0.691 0.191 0.000 Ti
0.809 0.691 0.000 Ti
0.103 0.603 0.500 Cr
0.397 0.103 0.500 Cr
0.603 0.897 0.500 Cr
0.897 0.397 0.500 Cr
0.000 0.000 0.500 Au
0.500 0.500 0.500 Au
```

Calculated values
* total moment: 0.0 μB/cell
* calculated formation energy: 0.011 eV per atom

14.
A relaxed structure of TiCr3Au. Source: Alexandria, functional PBE-GGA.

POSCAR file:
```
TiCr3Au
1.0
4.272 0.000 0.000
0.000 4.272 0.000
0.000 0.000 4.272
Ti Cr Au
1 3 1
Direct
0.000 0.000 0.000 Ti
0.000 0.000 0.500 Cr
0.000 0.500 0.000 Cr
0.500 0.000 0.000 Cr
0.500 0.500 0.500 Au
```

Calculated values
* total moment: 0.0 μB/cell
* energy relative to the lowest polymorph listed for this composition: 0.00 eV per formula unit
* calculated formation energy: 1.396 eV per atom

15.
A relaxed structure of TiCr3Au. Source: Alexandria, functional PBE-GGA.

POSCAR file:
```
TiCr3Au
1.0
4.906 0.000 0.000
0.000 4.906 0.000
0.000 0.000 4.906
Ti Cr Au
1 3 1
Direct
0.000 0.000 0.000 Ti
0.000 0.500 0.500 Cr
0.500 0.000 0.500 Cr
0.500 0.500 0.000 Cr
0.500 0.500 0.500 Au
```

Calculated values
* total moment: 10.1 μB/cell
* energy relative to the lowest polymorph listed for this composition: 0.39 eV per formula unit
* calculated formation energy: 1.475 eV per atom

16.
A relaxed structure of TiCrAu. Source: Alexandria, functional PBE-GGA.

POSCAR file:
```
TiCrAu
1.0
4.118 0.000 0.000
0.000 4.137 0.000
0.000 0.000 10.776
Ti Cr Au
4 4 4
Direct
0.000 0.250 0.214 Ti
0.000 0.750 0.786 Ti
0.500 0.250 0.786 Ti
0.500 0.750 0.214 Ti
0.000 0.250 0.940 Cr
0.000 0.750 0.060 Cr
0.500 0.250 0.060 Cr
0.500 0.750 0.940 Cr
0.000 0.250 0.604 Au
0.000 0.750 0.396 Au
0.500 0.250 0.396 Au
0.500 0.750 0.604 Au
```

Calculated values
* total moment: 0.0 μB/cell
* calculated formation energy: -0.195 eV per atom

17.
A relaxed structure of Ti4CrAu3. Source: Alexandria, functional PBE-GGA.

POSCAR file:
```
Ti4CrAu3
1.0
3.011 0.000 0.000
0.000 3.011 0.000
0.000 0.000 14.478
Ti Cr Au
4 1 3
Direct
0.000 0.000 0.100 Ti
0.000 0.000 0.367 Ti
0.000 0.000 0.633 Ti
0.000 0.000 0.900 Ti
0.500 0.500 0.000 Cr
0.500 0.500 0.232 Au
0.500 0.500 0.500 Au
0.500 0.500 0.768 Au
```

Calculated values
* total moment: 2.0 μB/cell
* calculated formation energy: -0.305 eV per atom

18.
A relaxed structure of TiTl2CrAu. Source: Alexandria, functional PBE-GGA.

POSCAR file:
```
TiTl2CrAu
1.0
5.143 0.000 0.000
0.000 5.143 0.000
0.000 0.000 5.003
Ti Tl Cr Au
1 2 1 1
Direct
0.000 0.000 0.000 Ti
0.000 0.500 0.500 Tl
0.500 0.000 0.500 Tl
0.500 0.500 0.500 Cr
0.500 0.500 0.000 Au
```

Calculated values
* total moment: 5.5 μB/cell
* calculated formation energy: 0.928 eV per atom

19.
A relaxed structure of TlCrAu2. Source: Alexandria, functional PBE-GGA.

POSCAR file:
```
TlCrAu2
1.0
3.261 0.000 0.000
0.000 3.261 0.000
0.000 0.000 7.609
Tl Cr Au
1 1 2
Direct
0.000 0.000 0.000 Tl
0.000 0.000 0.500 Cr
0.500 0.500 0.293 Au
0.500 0.500 0.707 Au
```

Calculated values
* total moment: 4.1 μB/cell
* calculated formation energy: 0.136 eV per atom

20.
A relaxed structure of TlCrAu. Source: Alexandria, functional PBE-GGA.

POSCAR file:
```
TlCrAu
1.0
3.367 0.000 0.000
-1.683 2.916 0.000
0.000 0.000 6.417
Tl Cr Au
1 1 1
Direct
0.000 0.000 0.000 Tl
0.333 0.667 0.655 Cr
0.667 0.333 0.362 Au
```

Calculated values
* total moment: 3.9 μB/cell
* energy relative to the lowest polymorph listed for this composition: 0.32 eV per formula unit
* calculated formation energy: 0.431 eV per atom